Here is a relaxed NaLi2SiBr crystal from the Alexandria database. Energies are from GGA-PBE.

Geometry as POSCAR:
```
NaLi2SiBr
1.0
4.9607 0.0000 0.0000
0.0000 4.9607 0.0000
0.0000 0.0000 5.8669
Na Li Si Br
1 2 1 1
Cartesian
0.0000 0.0000 0.0000 Na
0.0000 2.4804 2.9335 Li
2.4804 0.0000 2.9335 Li
0.0000 0.0000 2.9335 Si
2.4804 2.4804 0.0000 Br
```

Calculated values
The space group is P4/mmm, No. 123. For the uncorrected formation energy, the calculation gives -45.9 kJ/mol of formula units. The raw total energy comes out at -2.54 eV/atom.

***

Here is a relaxed Na2HoTiO4 crystal from the Alexandria database. Energies are from GGA-PBE.

Geometry as POSCAR:
```
Na2HoTiO4
1.0
5.5926 0.0000 0.0000
0.0000 3.2317 0.0000
-1.8730 0.0000 5.5359
Na Ho Ti O
2 1 1 4
Cartesian
0.0000 0.0000 0.0000 Na
2.7963 1.6158 0.0000 Na
-0.9365 1.6158 2.7680 Ho
1.8598 0.0000 2.7680 Ti
0.1106 0.0000 3.9320 O
1.0145 1.6158 1.6288 O
2.7050 1.6158 3.9071 O
3.6089 0.0000 1.6039 O
```

Calculated values
The space group is P2/m, No. 10. For the uncorrected formation energy, the calculation gives -1977.7 kJ/mol of formula units. The raw total energy comes out at -6.93 eV/atom.

***

Number 1 is which compound? NaLi2SiBr